Material: NdSm2In3Pd3
Method: DFT, GGA-PBE
State: optimized geometry

a b c (Å): 4.030 7.709 7.709
angles (deg): 120.03 90.00 90.00
Fractional coordinates of all 9 atoms:
In 0.500 0.747 0.001
In 0.500 0.252 0.252
In 0.500 0.001 0.747
Nd 0.000 0.588 0.588
Pd 0.000 0.000 0.000
Pd 0.500 0.667 0.332
Pd 0.500 0.332 0.667
Sm 0.000 0.411 0.000
Sm 0.000 0.000 0.411

Summary:
The energy is -5.0137 eV per atom.